First-principles (GGA+U) data for an optimized crystal structure of WS2O8, as listed in Alexandria via LeMat-Bulk. Values from VASP.

Results
The theoretical density is 3.6 g cm⁻³. The value obtained for the density of states at the Fermi level is 0.00 states/eV/atom. The calculation puts the total energy at -70.17 eV per formula unit.

Structure (Quantum ESPRESSO input):
```
&SYSTEM
  ibrav = 0, nat = 11, ntyp = 3
/
ATOMIC_SPECIES
W 183.84 W.upf
S 32.06 S.upf
O 16.00 O.upf
CELL_PARAMETERS angstrom
-3.2592 -2.1938 -2.7236
-1.6776 -2.4215 5.5882
-3.8817 3.8270 3.1926
ATOMIC_POSITIONS crystal
W 0.0000 0.0000 0.0000
S 0.6594 0.1860 0.1860
S 0.3406 0.8140 0.8140
O 0.2272 0.0511 0.7171
O 0.2272 0.7171 0.0511
O 0.7728 0.9489 0.2829
O 0.2601 0.6768 0.6768
O 0.7728 0.2829 0.9489
O 0.3360 0.1504 0.1504
O 0.6640 0.8496 0.8496
O 0.7399 0.3232 0.3232
```